Entry 1:
Entry from Alexandria: a relaxed structure of Nd2Ga4Ni3Ir (PBE).

abc: 4.1943 4.1943 9.9574
angles: 90.00 90.00 90.00
Last column: nearest neighbours and their distance in Å.
Space group P-4m2 (No. 115)
One atom of each set of equivalent atoms:
1 Nd 0.0000 0.5000 0.2496 [2 per cell]  8 Ga 3.18-3.25, 6 Ni 3.21-3.26, 2 Ir 3.26
2 Ga 0.0000 0.0000 0.0000 [1 per cell]  4 Ni 2.44
3 Ga 0.0000 0.5000 0.6339 [2 per cell]  3 Ni 2.39-2.49, 2 Ir 2.49
4 Ga 0.5000 0.5000 0.0000 [1 per cell]  4 Ni 2.44
5 Ni 0.0000 0.5000 0.8743 [2 per cell]  5 Ga 2.39-2.44
6 Ni 0.5000 0.5000 0.5000 [1 per cell]  4 Ga 2.49
7 Ir 0.0000 0.0000 0.5000 [1 per cell]  4 Ga 2.49

Computed properties:
calculated formation energy = -603 meV per atom
density of states at the Fermi level = 7.24 states/eV/f.u.

Entry 2:
Entry from Alexandria: a relaxed structure of SrCoRu (PBE).

abc: 3.9572 3.9572 4.8566
angles: 90.00 90.00 120.00
Last column: nearest neighbours and their distance in Å.
Space group P-6m2 (No. 187)
One atom of each set of equivalent atoms:
1 Sr 0.0000 0.0000 0.0000 [1 per cell]  6 Co 3.33, 6 Ru 3.33
2 Co 0.6667 0.3333 0.5000 [1 per cell]  3 Ru 2.28
3 Ru 0.3333 0.6667 0.5000 [1 per cell]  3 Co 2.28

Computed properties:
calculated formation energy = 336 meV per atom
energy above the most stable polymorph in this dataset = 0.0993 eV/atom
density of states at the Fermi level = 4.07 states/eV/f.u.

Entry 3:
Entry from Alexandria: a relaxed structure of InSn2BiBr8 (PBE).

abc: 6.9371 7.2909 9.1528
angles: 87.67 88.40 88.81
Last column: nearest neighbours and their distance in Å.
Space group P-1 (No. 2)
One atom of each set of equivalent atoms:
1 In 0.0000 0.0000 0.0000 [1 per cell]  6 Br 3.25-3.29
2 Sn 0.4918 0.4902 0.2482 [2 per cell]  4 Br 2.77-3.02
3 Bi 0.0000 0.0000 0.5000 [1 per cell]  6 Br 2.90-2.92
4 Br 0.2381 0.8291 0.2768 [2 per cell]  1 Bi 2.90, 1 Sn 3.02
5 Br 0.2410 0.3240 0.4815 [2 per cell]  1 Bi 2.92, 1 Sn 2.95
6 Br 0.2521 0.8463 0.7232 [2 per cell]  1 Bi 2.90, 1 Sn 3.01
7 Br 0.2791 0.3565 0.0250 [2 per cell]  1 Sn 2.77

Computed properties:
formation energy from raw total energies = -715.7 meV per atom

Number 1: total magnetic moment 0.000 μB per atom, theoretical density 8.87 g cm⁻³. Number 2: total magnetic moment 0.000 μB per atom, theoretical density 6.24 g cm⁻³. Number 3: total magnetic moment 0.000 μB per atom, theoretical density 4.31 g cm⁻³.